Here is a relaxed structure of MoAsAu2 from Alexandria via LeMat-Bulk. Energies are from GGA-PBE.

Structure (CIF):
```
data_MoAsAu2
_chemical_formula_sum 'Mo1 As1 Au2'
_cell_length_a 6.097
_cell_length_b 5.331
_cell_length_c 2.801
_cell_angle_alpha 90.06
_cell_angle_beta 62.53
_cell_angle_gamma 116.79
_space_group_name_H-M_alt 'P 1'
_space_group_IT_number 1
_space_group_name_Hall 'P 1'
loop_
_atom_site_label
_atom_site_type_symbol
_atom_site_fract_x
_atom_site_fract_y
_atom_site_fract_z
_atom_site_occupancy
Au1 Au 0.000 0.000 0.000 1
Au2 Au 0.500 0.000 0.500 1
As1 As 0.500 0.500 0.000 1
Mo1 Mo 0.000 0.500 0.500 1
```

Properties
The formation energy comes out at 0.289 eV per atom. The value obtained for the calculated volume is 17.40 Å³/atom. As for the space group: Cmmm (65).